This record from the Alexandria database describes a geometry-optimized Mg5Tl structure. The functional is PBE.

extended XYZ file:
```
6
Lattice="0.0000 4.1989 4.1989 4.1989 0.0000 4.1989 4.1989 4.1989 0.0000" Properties=species:S:1:pos:R:3 pbc="T T T"
Mg 0.0000 0.0000 0.0000
Mg 5.2511 3.1468 3.1468
Mg 3.1468 5.2511 3.1468
Mg 3.1468 3.1468 5.2511
Mg 5.2511 5.2511 5.2511
Tl 2.0995 2.0995 2.0995
```

Results
Total moment   0.0 Bohr magnetons per cell
Space-group type   F-43m, No. 216
ΔH_f (0 K)   35 kJ/mol of formula units
Excess energy over the best structure of this formula in the dataset   79.3 meV per atom

=====

This record from the Alexandria database describes a geometry-optimized BaCa2YPt structure. The functional is PBE.

extended XYZ file:
```
5
Lattice="5.8101 0.0000 0.0000 0.0000 5.8101 0.0000 0.0000 0.0000 5.5244" Properties=species:S:1:pos:R:3 pbc="T T T"
Ba 0.0000 0.0000 0.0000
Ca 0.0000 2.9050 2.7622
Ca 2.9050 0.0000 2.7622
Y 2.9050 2.9050 0.0000
Pt 2.9050 2.9050 2.7622
```

Results
Total moment   0.0 Bohr magnetons per cell
Space-group type   P4/mmm, No. 123
ΔH_f (0 K)   -216 kJ/mol of formula units

=====

This record from the Alexandria database describes a geometry-optimized CaCuW structure. The functional is PBE.

extended XYZ file:
```
3
Lattice="4.7856 0.0000 0.0000 -2.3928 4.1444 0.0000 0.0000 0.0000 2.7845" Properties=species:S:1:pos:R:3 pbc="T T T"
Ca 0.0000 0.0000 0.0000
Cu 2.3928 1.3815 1.3923
W 0.0000 2.7629 1.3923
```

Results
Total moment   0.0 Bohr magnetons per cell
Space-group type   P-6m2, No. 187
ΔH_f (0 K)   262 kJ/mol of formula units
Excess energy over the best structure of this formula in the dataset   296.7 meV per atom

=====

This record from the Alexandria database describes a geometry-optimized ReTc3Ge6 structure. The functional is PBE.

extended XYZ file:
```
20
Lattice="6.2487 0.0000 0.0000 -0.2459 6.6289 0.0000 -0.0804 -0.0046 8.0638" Properties=species:S:1:pos:R:3 pbc="T T T"
Re 0.0000 0.0000 0.0000
Re 2.9612 3.3121 4.0319
Tc -0.0402 -0.0023 4.0319
Tc 0.5331 4.5345 2.0008
Tc 2.3097 0.7186 2.0092
Tc 3.0014 3.3144 0.0000
Tc 3.6127 5.9057 6.0546
Tc 5.3894 2.0898 6.0630
Ge 0.7114 2.3060 3.3988
Ge 0.7527 2.3279 0.5842
Ge 1.3071 0.0906 6.0491
Ge 1.5456 2.9954 6.0335
Ge 2.0308 5.5917 3.8233
Ge 2.0823 5.5819 0.1974
Ge 3.8401 1.0424 7.8664
Ge 3.8917 1.0325 4.2405
Ge 4.3768 3.6288 2.0303
Ge 4.6153 6.5337 2.0147
Ge 5.1698 4.2964 7.4796
Ge 5.2110 4.3183 4.6650
```

Results
Total moment   0.0 Bohr magnetons per cell
Space-group type   P-1, No. 2
ΔH_f (0 K)   149 kJ/mol of formula units

=====

This record from the Alexandria database describes a geometry-optimized Ac2Pr3Sn3 structure. The functional is PBE.

extended XYZ file:
```
16
Lattice="4.5442 0.0000 0.0000 0.0000 5.2632 0.0000 0.0000 0.0000 22.2933" Properties=species:S:1:pos:R:3 pbc="T T T"
Ac 0.0000 0.0000 5.1482
Ac 0.0000 0.0000 17.1451
Ac 2.2721 2.6316 5.9984
Ac 2.2721 2.6316 16.2949
Pr 0.0000 0.0000 0.0000
Pr 0.0000 2.6316 2.4819
Pr 0.0000 2.6316 19.8115
Pr 2.2721 0.0000 8.6648
Pr 2.2721 0.0000 13.6286
Pr 2.2721 2.6316 11.1467
Sn 0.0000 0.0000 11.1467
Sn 0.0000 2.6316 8.5211
Sn 0.0000 2.6316 13.7723
Sn 2.2721 0.0000 2.6256
Sn 2.2721 0.0000 19.6677
Sn 2.2721 2.6316 0.0000
```

Results
Total moment   0.0 Bohr magnetons per cell
Space-group type   Immm, No. 71
ΔH_f (0 K)   -362 kJ/mol of formula units

=====

This record from the Alexandria database describes a geometry-optimized KRb2TeCl structure. The functional is PBE.

extended XYZ file:
```
5
Lattice="6.1346 0.0000 0.0000 0.0000 6.1346 0.0000 0.0000 0.0000 5.8765" Properties=species:S:1:pos:R:3 pbc="T T T"
K 0.0000 0.0000 0.0000
Rb 0.0000 3.0673 2.9382
Rb 3.0673 0.0000 2.9382
Te 3.0673 3.0673 0.0000
Cl 0.0000 0.0000 2.9382
```

Results
Total moment   0.0 Bohr magnetons per cell
Total energy   -2.85 eV per atom
Space-group type   P4/mmm, No. 123

=====

This record from the Alexandria database describes a geometry-optimized CsCaBe2Br8 structure. The functional is PBE.

extended XYZ file:
```
12
Lattice="3.3929 1.9589 9.9104 -3.3929 1.9589 9.9104 0.0000 -3.9178 9.9104" Properties=species:S:1:pos:R:3 pbc="T T T"
Cs 0.0000 0.0000 0.0000
Ca 0.0000 0.0000 14.8655
Be 0.0000 0.0000 7.2990
Be 0.0000 0.0000 22.4320
Br -1.2980 -2.0298 13.1773
Br -2.4068 0.1092 16.5538
Br 0.0000 0.0000 9.4851
Br -1.1089 2.1390 13.1773
Br 1.1089 -2.1390 16.5538
Br 0.0000 0.0000 20.2460
Br 2.4068 -0.1092 13.1773
Br 1.2980 2.0298 16.5538
```

Results
Total moment   1.1 Bohr magnetons per cell
Total energy   -3.23 eV per atom
Space-group type   R-3, No. 148

=====

This record from the Alexandria database describes a geometry-optimized MgCu2Au structure. The functional is PBE.

extended XYZ file:
```
8
Lattice="3.9632 0.0000 0.0000 0.0000 3.9632 0.0000 0.0000 0.0000 7.5976" Properties=species:S:1:pos:R:3 pbc="T T T"
Mg 0.0000 0.0000 0.0000
Mg 1.9816 1.9816 3.7988
Cu 0.0000 0.0000 3.7988
Cu 0.0000 1.9816 5.6982
Cu 1.9816 0.0000 1.8994
Cu 1.9816 1.9816 0.0000
Au 0.0000 1.9816 1.8994
Au 1.9816 0.0000 5.6982
```

Results
Total moment   0.0 Bohr magnetons per cell
Space-group type   I-4m2, No. 119
ΔH_f (0 K)   -84 kJ/mol of formula units